# 1
Below is an optimized crystal structure of CaCrW2, with properties calculated at the PBE level.

a = 2.841 Å, b = 4.286 Å, c = 6.377 Å
α = 90.00°, β = 99.35°, γ = 90.00°
Fractional coordinates of all 4 atoms:
1 Ca 0.000 0.000 0.000
2 Cr 0.831 0.500 0.322
3 W 0.249 0.500 0.665
4 W 0.551 0.000 0.482

The calculation puts the formation energy at 0.6874 eV/atom. The value obtained for the density of states at the Fermi level is 3.9 states/eV/cell. Its spin magnetization is 0.000 μB per formula unit.


# 2
Below is an optimized crystal structure of Ba2Al5Au, with properties calculated at the PBE level.

a = 7.151 Å, b = 7.151 Å, c = 7.151 Å
α = 127.95°, β = 127.95°, γ = 76.71°
Fractional coordinates of all 8 atoms:
1 Ba 0.000 0.500 0.500
2 Ba 0.500 0.000 0.500
3 Al 0.021 0.021 0.554
4 Al 0.021 0.467 0.000
5 Al 0.414 0.414 0.000
6 Al 0.467 0.021 0.000
7 Al 0.467 0.467 0.446
8 Au 0.660 0.660 0.000

The calculation puts the formation energy at -0.1665 eV/atom. The value obtained for the density of states at the Fermi level is 6.6 states/eV/cell. Its spin magnetization is 0.000 μB per formula unit.


# 3
Below is an optimized crystal structure of ZrSb2Se, with properties calculated at the PBE level.

a = 6.012 Å, b = 6.012 Å, c = 6.012 Å
α = 142.96°, β = 133.60°, γ = 60.80°
Fractional coordinates of all 4 atoms:
1 Zr 0.000 0.000 0.000
2 Sb 0.241 0.741 0.500
3 Sb 0.759 0.259 0.500
4 Se 0.500 0.500 0.000

The value obtained for the density of states at the Fermi level is 2.4 states/eV/cell. Its spin magnetization is 0.000 μB per formula unit. The value obtained for the raw formation energy is -244 meV/atom.